# Fe15O16

A relaxed Fe15O16 crystal (PBE+U, Alexandria).

- Offset from the most stable computed form: 0.004 eV/atom
- Space group: No. 166
- Calculated density: 5.297 Mg/m³

Geometry as extended XYZ:
```
31
Lattice="3.1085 1.7947 10.2425 -3.1085 1.7947 10.2425 0.0000 -3.5894 10.2425" Properties=species:S:1:pos:R:3 pbc="T T T"
Fe 0.0000 0.0000 0.0000
Fe -1.5542 -0.8973 10.2425
Fe 0.0000 0.0000 5.4751
Fe -1.5491 -0.8943 17.8818
Fe 0.0000 -1.7887 12.8455
Fe -1.5491 0.8944 12.8455
Fe 0.0000 0.0000 7.8946
Fe -1.5542 0.8973 20.4849
Fe 0.0000 1.7947 10.2425
Fe 0.0000 0.0000 15.3637
Fe 0.0000 0.0000 22.8328
Fe 1.5491 -0.8943 17.8819
Fe 0.0000 1.7887 17.8819
Fe 1.5491 0.8943 12.8455
Fe 0.0000 0.0000 25.2523
O -1.6112 -0.9302 14.0855
O 0.0000 0.0000 3.5756
O 0.0000 -1.7701 9.0375
O -1.5330 0.8851 9.0375
O 0.0000 -1.8604 16.6419
O -1.6112 0.9302 16.6419
O -1.5330 -0.8851 21.6899
O 0.0000 0.0000 11.6826
O 0.0000 0.0000 19.0448
O 1.5330 0.8851 9.0375
O 1.6112 -0.9302 14.0855
O 0.0000 1.8604 14.0855
O 1.5330 -0.8851 21.6899
O 0.0000 1.7701 21.6899
O 0.0000 0.0000 27.1518
O 1.6112 0.9302 16.6419
```